1.
SrCaSn3: relaxed, PBE.

Unit cell a=5.9034 b=5.9034 c=5.9034 alpha=90.00 beta=90.00 gamma=90.00
Space group Pm-3m (No. 221)
Asymmetric unit:
Sr 0.0000 0.0000 0.0000 (multiplicity 1)
Ca 0.5000 0.5000 0.5000 (multiplicity 1)
Sn 0.0000 0.0000 0.5000 (multiplicity 3)

Energy: -2.6903 eV/atom
ΔE_f: 448 meV/atom
Total magnetization: 0.0 Bohr magnetons per cell
Relative energy among the computed polymorphs: 967 meV/atom

2.
YP2IrRh2: relaxed, PBE.

Unit cell a=4.4750 b=4.4750 c=5.5064 alpha=90.00 beta=90.00 gamma=90.00
Space group P4/mmm (No. 123)
Asymmetric unit:
Y 0.0000 0.0000 0.0000 (multiplicity 1)
P 0.0000 0.5000 0.5000 (multiplicity 2)
Ir 0.0000 0.0000 0.5000 (multiplicity 1)
Rh 0.5000 0.5000 0.2486 (multiplicity 2)

Energy: -7.0554 eV/atom
ΔE_f: -247 meV/atom
Total magnetization: 0.0 Bohr magnetons per cell

3.
La5YMg6: relaxed, PBE.

Unit cell a=5.5596 b=7.8929 c=8.7945 alpha=90.00 beta=108.37 gamma=90.00
Space group P2/m (No. 10)
Asymmetric unit:
La 0.0000 0.0000 0.0000 (multiplicity 1)
La 0.3306 0.0000 0.6603 (multiplicity 2)
La 0.3352 0.5000 0.6698 (multiplicity 2)
Y 0.0000 0.5000 0.0000 (multiplicity 1)
Mg 0.1633 0.2557 0.3272 (multiplicity 4)
Mg 0.5000 0.2548 0.0000 (multiplicity 2)

Energy: -3.5020 eV/atom
ΔE_f: -113 meV/atom
Total magnetization: 0.0 Bohr magnetons per cell